First-principles (GGA-PBE) data for crystalline Sr2AgRh at its relaxed geometry, as listed in Alexandria via LeMat-Bulk.

The value obtained for the magnetization is 0.00 μB/cell. For the raw total energy, the calculation gives -53.439 eV for the cell shown.

The space group is F-43m (No. 216) and the conventional cell measures 7.3490, 7.3490 and 7.3490 Å, with angles of 90.00, 90.00 and 90.00 degrees. The distinct sites, in fractional coordinates, are Sr at (0.0000, 0.0000, 0.0000), Sr at (0.2500, 0.2500, 0.2500), Ag at (0.0000, 0.0000, 0.5000) and Rh at (0.2500, 0.2500, 0.7500).